1.
An optimized crystal structure of TaTe3. Source: Alexandria via LeMat-Bulk, functional PBE.

abc: 5.6455 5.6455 5.6455
angles: 114.93 114.93 114.93
Fractional positions:
Te 0.0000 0.5000 0.5000
Te 0.5000 0.5000 0.0000
Te 0.5000 0.0000 0.5000
Ta 0.0000 0.0000 0.0000

Summary:
Formation energy from raw total energies = 0.58 eV/atom
Space-group type = No. 166
Total magnetic moment = 0.0 Bohr magnetons per cell

2.
An optimized crystal structure of TaTe. Source: Alexandria via LeMat-Bulk, functional PBE.

abc: 9.9385 9.9385 3.6524
angles: 90.00 90.00 120.00
Fractional positions:
Ta 0.3716 0.5218 0.7500
Ta 0.1502 0.6284 0.7500
Ta 0.5218 0.1502 0.2500
Ta 0.8498 0.3716 0.2500
Ta 0.4782 0.8498 0.7500
Ta 0.6284 0.4782 0.2500
Te 0.3105 0.2854 0.2500
Te 0.6895 0.7146 0.7500
Te 0.7146 0.0251 0.2500
Te 0.9749 0.6895 0.2500
Te 0.0251 0.3105 0.7500
Te 0.2854 0.9749 0.7500

Summary:
Formation energy from raw total energies = 0.10 eV/atom
Space-group type = No. 176
Total magnetic moment = 0.0 Bohr magnetons per cell

3.
An optimized crystal structure of Ta3Te. Source: Alexandria via LeMat-Bulk, functional PBE.

abc: 3.5491 3.5491 6.1344
angles: 90.00 90.00 90.00
Fractional positions:
Ta 0.5000 0.5000 0.7339
Ta 0.0000 0.0000 0.5000
Ta 0.5000 0.5000 0.2661
Te 0.0000 0.0000 0.0000

Summary:
Formation energy from raw total energies = 0.10 eV/atom
Space-group type = No. 123
Total magnetic moment = 0.0 Bohr magnetons per cell

4.
An optimized crystal structure of TaTe. Source: Alexandria via LeMat-Bulk, functional PBE.

abc: 3.7120 4.2317 7.3337
angles: 90.00 90.10 90.00
Fractional positions:
Ta 0.2501 0.7500 0.0189
Ta 0.7499 0.2500 0.9811
Te 0.7490 0.7500 0.7223
Te 0.2510 0.2500 0.2777

Summary:
Formation energy from raw total energies = -0.13 eV/atom
Space-group type = No. 11
Total magnetic moment = 0.0 Bohr magnetons per cell

E_tot for every record listed, in sequence, given in eV/cell: -18.961; -88.794; -38.286; -30.525.